(1)
{
  "formula": "BeInGa",
  "functional": "PBE",
  "state": "relaxed",
  "delta_e_f_ev_per_atom": 0.209,
  "volume_a3_per_cell": 104,
  "energy_ev_per_atom": -2.955,
  "space_group": "P-1, No. 2",
  "crystal_system": "triclinic",
  "lattice_angstrom": [[-0.9547, -4.8999, -0.4028], [3.3063, -1.0188, 5.0311], [-3.7487, -0.8633, 0.7316]],
  "species": ["Be", "In", "Be", "Ga", "Ga", "In"],
  "fractional_positions": [[0.2831, 0.3552, 0.0172], [0.6964, 0.3755, 0.3221], [0.4595, 0.7015, 0.1065], [0.5857, 0.9595, 0.6708], [0.1577, 0.0966, 0.4521], [0.0467, 0.6804, 0.8009]]
}

***

(2)
{
  "formula": "BeInGa2",
  "functional": "PBE",
  "state": "relaxed",
  "delta_e_f_ev_per_atom": 0.468,
  "de_polymorph_ev_per_atom": 0.229,
  "volume_a3_per_cell": 82,
  "energy_ev_per_atom": -2.662,
  "space_group": "R-3m, No. 166",
  "crystal_system": "trigonal",
  "lattice_angstrom": [[3.2280, 0.0000, 0.0000], [1.6140, 2.7956, 0.0000], [1.6140, 0.9319, 9.0509]],
  "species": ["In", "Ga", "Be", "Ga"],
  "fractional_positions": [[0.5000, 0.5000, 0.5000], [0.9176, 0.9176, 0.2472], [0.0000, 0.0000, 0.0000], [0.0824, 0.0824, 0.7528]]
}

***

(3)
{
  "formula": "Be2InGa",
  "functional": "PBE",
  "state": "relaxed",
  "delta_e_f_ev_per_atom": 0.407,
  "de_polymorph_ev_per_atom": 0.000,
  "volume_a3_per_cell": 137,
  "energy_ev_per_atom": -2.898,
  "space_group": "I-42d, No. 122",
  "crystal_system": "tetragonal",
  "lattice_angstrom": [[4.1970, 0.0000, 0.0000], [0.0000, 4.1970, 0.0000], [2.0985, 2.0985, 7.7525]],
  "species": ["Be", "Ga", "Be", "In", "Ga", "In", "Be", "Be"],
  "fractional_positions": [[0.3750, 0.5476, 0.7500], [0.5000, 0.5000, 0.0000], [0.2976, 0.6250, 0.2500], [0.0000, 0.0000, 0.0000], [0.2500, 0.7500, 0.5000], [0.7500, 0.2500, 0.5000], [0.8750, 0.7024, 0.7500], [0.4524, 0.1250, 0.2500]]
}

***

(4)
{
  "formula": "Be2InGa",
  "functional": "PBE",
  "state": "relaxed",
  "delta_e_f_ev_per_atom": 0.578,
  "de_polymorph_ev_per_atom": 0.171,
  "volume_a3_per_cell": 61,
  "energy_ev_per_atom": -2.727,
  "space_group": "Fm-3m, No. 225",
  "crystal_system": "cubic",
  "lattice_angstrom": [[-0.3752, 2.6373, 3.5374], [-3.4756, -0.4149, 2.7125], [0.5520, -1.6602, 4.0680]],
  "species": ["Ga", "Be", "Be", "In"],
  "fractional_positions": [[0.0000, 0.0000, 0.0000], [0.2500, 0.2500, 0.2500], [0.7500, 0.7500, 0.7500], [0.5000, 0.5000, 0.5000]]
}

***

(5)
{
  "formula": "BeInGa2",
  "functional": "PBE",
  "state": "relaxed",
  "delta_e_f_ev_per_atom": 0.239,
  "de_polymorph_ev_per_atom": 0.000,
  "volume_a3_per_cell": 155,
  "energy_ev_per_atom": -2.891,
  "space_group": "I-42d, No. 122",
  "crystal_system": "tetragonal",
  "lattice_angstrom": [[-1.3435, 3.7847, 1.8159], [-4.0402, -1.6834, 0.5194], [-0.6255, -1.6805, 8.3889]],
  "species": ["Be", "Ga", "Be", "Ga", "Ga", "Ga", "In", "In"],
  "fractional_positions": [[0.2500, 0.7500, 0.5000], [0.2130, 0.6250, 0.2500], [0.5000, 0.5000, 0.0000], [0.3750, 0.4630, 0.7500], [0.5370, 0.1250, 0.2500], [0.8750, 0.7870, 0.7500], [0.7500, 0.2500, 0.5000], [0.0000, 0.0000, 0.0000]]
}

***

(6)
{
  "formula": "BeInGa2O6",
  "functional": "PBE",
  "state": "relaxed",
  "volume_a3_per_cell": 247,
  "energy_ev_per_atom": -5.925,
  "space_group": "C2/c, No. 15",
  "e_form_raw_ev_per_atom": -1.6978,
  "crystal_system": "monoclinic",
  "lattice_angstrom": [[-4.9831, 2.3324, -0.6530], [-4.0013, -2.3682, 5.2384], [0.4805, 6.4757, 2.6257]],
  "species": ["O", "O", "O", "Ga", "O", "In", "O", "O", "O", "Ga", "Ga", "O", "Ga", "O", "Be", "O", "O", "In", "Be", "O"],
  "fractional_positions": [[0.0692, 0.6639, 0.5615], [0.0426, 0.6686, 0.1458], [0.3149, 0.1952, 0.0461], [0.6474, 0.2419, 0.4344], [0.1851, 0.9539, 0.8048], [0.7500, 0.1073, 0.8927], [0.5692, 0.5615, 0.6639], [0.6851, 0.8048, 0.9539], [0.9574, 0.3314, 0.8542], [0.3526, 0.7581, 0.5656], [0.8526, 0.5656, 0.7581], [0.8149, 0.0461, 0.1952], [0.1474, 0.4344, 0.2419], [0.9308, 0.3361, 0.4385], [0.7500, 0.8250, 0.1750], [0.5426, 0.1458, 0.6686], [0.4308, 0.4385, 0.3361], [0.2500, 0.8927, 0.1073], [0.2500, 0.1750, 0.8250], [0.4574, 0.8542, 0.3314]]
}

***

(7)
{
  "formula": "BeInGa2O",
  "functional": "PBE",
  "state": "relaxed",
  "volume_a3_per_cell": 127,
  "energy_ev_per_atom": -2.547,
  "space_group": "P4/mmm, No. 123",
  "e_form_raw_ev_per_atom": 0.9481,
  "crystal_system": "tetragonal",
  "lattice_angstrom": [[-3.4407, -2.4168, -3.2070], [3.0689, -3.2435, -0.8482], [-1.8376, -2.8075, 4.0872]],
  "species": ["Ga", "In", "Be", "Ga", "O"],
  "fractional_positions": [[0.0000, 0.0000, 0.5000], [0.0000, 0.0000, 0.0000], [0.0000, 0.5000, 0.0000], [0.5000, 0.0000, 0.0000], [0.5000, 0.5000, 0.5000]]
}

***

(8)
{
  "formula": "BeInGaO4",
  "functional": "PBE",
  "state": "relaxed",
  "volume_a3_per_cell": 152,
  "energy_ev_per_atom": -6.109,
  "space_group": "Cmcm, No. 63",
  "e_form_raw_ev_per_atom": -1.9203,
  "crystal_system": "orthorhombic",
  "lattice_angstrom": [[-2.6378, -3.7935, 2.3632], [2.5069, -1.6711, -4.2257], [4.8862, -1.2771, 3.4037]],
  "species": ["O", "In", "O", "O", "O", "Be", "O", "Ga", "In", "O", "O", "O", "Be", "Ga"],
  "fractional_positions": [[0.2383, 0.2096, 0.2500], [0.5000, 0.5000, 0.0000], [0.2491, 0.7509, 0.0216], [0.2491, 0.7509, 0.4784], [0.7617, 0.7904, 0.7500], [0.1506, 0.8494, 0.2500], [0.7509, 0.2491, 0.9784], [0.8485, 0.1515, 0.2500], [0.5000, 0.5000, 0.5000], [0.2096, 0.2383, 0.7500], [0.7904, 0.7617, 0.2500], [0.7509, 0.2491, 0.5216], [0.8494, 0.1506, 0.7500], [0.1515, 0.8485, 0.7500]]
}

***

(9)
{
  "formula": "Be2In2GaPt5",
  "functional": "PBE",
  "state": "relaxed",
  "delta_e_f_ev_per_atom": -0.532,
  "volume_a3_per_cell": 303,
  "energy_ev_per_atom": -5.148,
  "space_group": "P4/mbm, No. 127",
  "crystal_system": "tetragonal",
  "lattice_angstrom": [[3.4917, 0.0000, 0.0000], [0.0000, 9.3150, 0.0000], [0.0000, 0.0000, 9.3150]],
  "species": ["Pt", "Ga", "Pt", "In", "Be", "Pt", "In", "Pt", "Pt", "Pt", "In", "Pt", "Pt", "Ga", "In", "Be", "Be", "Pt", "Pt", "Be"],
  "fractional_positions": [[0.5000, 0.5000, 0.0000], [0.0000, 0.5000, 0.5000], [0.5000, 0.7027, 0.4194], [0.0000, 0.6717, 0.1717], [0.0000, 0.8744, 0.3744], [0.5000, 0.2027, 0.0806], [0.0000, 0.8283, 0.6717], [0.5000, 0.2973, 0.5806], [0.5000, 0.7973, 0.9194], [0.5000, 0.5806, 0.7027], [0.0000, 0.1717, 0.3283], [0.5000, 0.0806, 0.7973], [0.5000, 0.0000, 0.5000], [0.0000, 0.0000, 0.0000], [0.0000, 0.3283, 0.8283], [0.0000, 0.6256, 0.8744], [0.0000, 0.1256, 0.6256], [0.5000, 0.9194, 0.2027], [0.5000, 0.4194, 0.2973], [0.0000, 0.3744, 0.1256]]
}

***

(10)
{
  "formula": "BeIn2GaRe",
  "functional": "PBE",
  "state": "relaxed",
  "delta_e_f_ev_per_atom": 1.108,
  "volume_a3_per_cell": 98,
  "energy_ev_per_atom": -3.828,
  "space_group": "P4/mmm, No. 123",
  "crystal_system": "tetragonal",
  "lattice_angstrom": [[-0.4016, 0.6945, 4.7867], [-3.6056, -2.0982, 0.0019], [2.4079, -4.1370, 0.8022]],
  "species": ["Be", "In", "Ga", "In", "Re"],
  "fractional_positions": [[0.0000, 0.0000, 0.0000], [0.5000, 0.0000, 0.0000], [0.0000, 0.5000, 0.0000], [0.0000, 0.0000, 0.5000], [0.5000, 0.5000, 0.5000]]
}

***

(11)
{
  "formula": "Be2In2GaRh5",
  "functional": "PBE",
  "state": "relaxed",
  "delta_e_f_ev_per_atom": -0.529,
  "volume_a3_per_cell": 280,
  "energy_ev_per_atom": -5.800,
  "space_group": "P4/mbm, No. 127",
  "crystal_system": "tetragonal",
  "lattice_angstrom": [[-2.3280, -0.9773, -1.7241], [5.6776, 0.0562, -7.6983], [2.4925, -9.0636, 1.7720]],
  "species": ["In", "Be", "Be", "Rh", "In", "In", "Rh", "Be", "Rh", "Rh", "Ga", "Rh", "Rh", "Rh", "Ga", "In", "Rh", "Rh", "Rh", "Be"],
  "fractional_positions": [[0.0000, 0.8258, 0.6742], [0.0000, 0.8740, 0.3740], [0.0000, 0.3740, 0.1260], [0.5000, 0.0000, 0.5000], [0.0000, 0.1742, 0.3258], [0.0000, 0.6742, 0.1742], [0.5000, 0.0723, 0.7944], [0.0000, 0.1260, 0.6260], [0.5000, 0.7056, 0.4277], [0.5000, 0.5000, 0.0000], [0.0000, 0.0000, 0.0000], [0.5000, 0.9277, 0.2056], [0.5000, 0.4277, 0.2944], [0.5000, 0.2056, 0.0723], [0.0000, 0.5000, 0.5000], [0.0000, 0.3258, 0.8258], [0.5000, 0.5723, 0.7056], [0.5000, 0.2944, 0.5723], [0.5000, 0.7944, 0.9277], [0.0000, 0.6260, 0.8740]]
}

***

(12)
{
  "formula": "BeIn2GaSb",
  "functional": "PBE",
  "state": "relaxed",
  "volume_a3_per_cell": 151,
  "energy_ev_per_atom": -2.428,
  "space_group": "P4/mmm, No. 123",
  "e_form_raw_ev_per_atom": 0.8424,
  "crystal_system": "tetragonal",
  "lattice_angstrom": [[5.3028, 0.0000, 0.0000], [0.0000, 5.3613, 0.0000], [0.0000, 0.0000, 5.3028]],
  "species": ["In", "In", "Be", "Ga", "Sb"],
  "fractional_positions": [[0.0000, 0.0000, 0.5000], [0.5000, 0.0000, 0.0000], [0.5000, 0.5000, 0.5000], [0.0000, 0.0000, 0.0000], [0.0000, 0.5000, 0.0000]]
}